1.
This record from Alexandria describes Rb2AsSe3 after structural relaxation. The functional is PBE.

As for the crystal system: monoclinic. Its formation energy without anion corrections is -0.746 eV/atom. The calculation puts the energy relative to the lowest polymorph listed for this composition at 0 meV per atom.

The space group is C2/c (No. 15) and the conventional cell measures 7.661, 14.289 and 16.629 Å, with angles of 90.00, 95.56 and 90.00 degrees. The distinct sites, in fractional coordinates, are Rb at (0.225, 0.193, 0.340), Rb at (0.245, 0.397, 0.073), As at (0.245, 0.500, 0.338), Se at (0.000, 0.009, 0.750), Se at (0.000, 0.421, 0.250), Se at (0.180, 0.343, 0.867) and Se at (0.244, 0.098, 0.548).

=====

2.
This record from Alexandria describes HfMg2GaH after structural relaxation. The functional is PBE.

As for the crystal system: tetragonal.

The space group is P4/mmm (No. 123) and the conventional cell measures 4.252, 4.252 and 4.301 Å, with angles of 90.00, 90.00 and 90.00 degrees. The distinct sites, in fractional coordinates, are Hf at (0.000, 0.000, 0.000), Mg at (0.000, 0.500, 0.500), Ga at (0.500, 0.500, 0.000) and H at (0.000, 0.000, 0.500).

=====

| no. | E (eV per atom) |
| --- | --- |
| 1 | -3.585 |
| 2 | -4.041 |